Record 1
Density functional theory data (GGA-PBE) for a geometry-optimized SnSb2S4 structure.

Values from the calculation:
- Raw total energy: -4.37 eV per atom
- M_tot: 0.00 μB/atom

Cell lengths 3.9431, 6.7893, 13.6320 Å; angles 90.00, 90.00, 106.88 degrees
Sites, in units of the cell vectors:
1 S 0.5000 0.0000 0.0000
2 S 0.2273 0.4546 0.8846
3 S 0.2273 0.4546 0.6154
4 S 0.7727 0.5454 0.1154
5 S 0.9512 0.9024 0.7500
6 S 0.0488 0.0976 0.2500
7 S 0.5000 0.0000 0.5000
8 S 0.7727 0.5454 0.3846
9 Sb 0.1386 0.2772 0.4381
10 Sb 0.8614 0.7228 0.5619
11 Sb 0.8614 0.7228 0.9381
12 Sb 0.1386 0.2772 0.0619
13 Sn 0.5914 0.1829 0.7500
14 Sn 0.4086 0.8171 0.2500

***

Record 2
Density functional theory data (GGA-PBE) for a geometry-optimized Tl3Te2N structure.

Values from the calculation:
- Raw total energy: -3.34 eV per atom
- M_tot: 0.00 μB/atom

Cell lengths 8.9618, 8.9618, 7.2578 Å; angles 102.32, 102.32, 40.98 degrees
Sites, in units of the cell vectors:
1 Te 0.8566 0.8566 0.6947
2 Te 0.5306 0.5306 0.8299
3 Te 0.1434 0.1434 0.3053
4 Te 0.4694 0.4694 0.1701
5 Tl 0.7121 0.7121 0.0977
6 Tl 0.6475 0.6475 0.5065
7 Tl 0.2879 0.2879 0.9023
8 Tl 0.3525 0.3525 0.4935
9 Tl 0.9350 0.9350 0.2391
10 Tl 0.0650 0.0650 0.7609
11 N 0.8272 0.8272 0.9469
12 N 0.1728 0.1728 0.0531

***

Record 3
Density functional theory data (GGA-PBE) for a geometry-optimized Zr2Cd3 structure.

Values from the calculation:
- Energy above the lowest structure with this stoichiometry: 122 meV per atom
- Raw total energy: -3.95 eV per atom
- M_tot: 0.00 μB/atom
- Energy of formation: 0.020 eV/atom

Cell lengths 8.9784, 7.9538, 5.8810 Å; angles 79.38, 60.54, 40.08 degrees
Sites, in units of the cell vectors:
1 Zr 0.8781 0.7288 0.0050
2 Zr 0.3880 0.0050 0.7288
3 Zr 0.5212 0.3719 0.8620
4 Zr 0.2450 0.8620 0.3719
5 Cd 0.8126 0.4644 0.8118
6 Cd 0.0100 0.9900 0.9900
7 Cd 0.4382 0.3387 0.4374
8 Cd 0.2600 0.2400 0.2400
9 Cd 0.9113 0.8118 0.4644
10 Cd 0.7856 0.4374 0.3387

***

Record 4
Density functional theory data (GGA-PBE) for a geometry-optimized MnHg2Cl structure.

Values from the calculation:
- Energy above the lowest structure with this stoichiometry: 14 meV per atom
- Raw total energy: -3.06 eV per atom
- M_tot: 1.11 μB/atom

Cell lengths 3.4232, 3.4132, 8.9646 Å; angles 89.68, 90.00, 90.00 degrees
Sites, in units of the cell vectors:
1 Mn 0.0000 0.6224 0.4921
2 Hg 0.5000 0.1251 0.3156
3 Hg 0.0000 0.1313 0.0154
4 Cl 0.5000 0.6212 0.6769

***

Record 5
Density functional theory data (GGA-PBE) for a geometry-optimized Ta2Hg structure.

Values from the calculation:
- Raw total energy: -6.61 eV per atom
- M_tot: 0.00 μB/atom
- Energy of formation: 1.392 eV/atom

Cell lengths 6.4747, 6.4747, 6.4747 Å; angles 90.00, 90.00, 90.00 degrees
Sites, in units of the cell vectors:
1 Ta 0.6186 0.8814 0.1186
2 Ta 0.1186 0.6186 0.8814
3 Ta 0.6186 0.6186 0.6186
4 Ta 0.3814 0.3814 0.3814
5 Ta 0.3814 0.1186 0.8814
6 Ta 0.8814 0.3814 0.1186
7 Ta 0.8814 0.1186 0.6186
8 Ta 0.1186 0.8814 0.3814
9 Hg 0.0000 0.0000 0.0000
10 Hg 0.5000 0.5000 0.0000
11 Hg 0.5000 0.0000 0.5000
12 Hg 0.0000 0.5000 0.5000

***

Record 6
Density functional theory data (GGA-PBE) for a geometry-optimized Mg2ScZn structure.

Values from the calculation:
- Raw total energy: -2.72 eV per atom
- M_tot: 0.06 μB/atom
- Energy of formation: -0.018 eV/atom

Cell lengths 5.9632, 5.9632, 2.9689 Å; angles 78.31, 78.31, 120.23 degrees
Sites, in units of the cell vectors:
1 Sc 0.5000 0.0000 0.5000
2 Zn 0.0000 0.5000 0.5000
3 Mg 0.5000 0.5000 0.0000
4 Mg 0.0000 0.0000 0.0000

***

Record 7
Density functional theory data (GGA-PBE) for a geometry-optimized NdHo5ErSc2 structure.

Values from the calculation:
- Raw total energy: -4.82 eV per atom
- M_tot: 0.00 μB/atom
- Energy of formation: 0.170 eV/atom

Cell lengths 5.5773, 11.0826, 9.2826 Å; angles 90.00, 90.00, 104.57 degrees
Sites, in units of the cell vectors:
1 Ho 0.3077 0.6155 0.7193
2 Ho 0.7344 0.4687 0.8333
3 Ho 0.9909 0.9818 0.5154
4 Ho 0.5317 0.0634 0.2486
5 Ho 0.6923 0.3845 0.2193
6 Ho 0.6073 0.2145 0.5473
7 Ho 0.2656 0.5313 0.3333
8 Ho 0.0091 0.0182 0.0154
9 Ho 0.4683 0.9366 0.7486
10 Ho 0.3927 0.7855 0.0473
11 Er 0.5968 0.1935 0.9197
12 Er 0.4032 0.8065 0.4197
13 Sc 0.8624 0.7247 0.1980
14 Sc 0.8866 0.7732 0.8250
15 Sc 0.1376 0.2753 0.6980
16 Sc 0.1134 0.2268 0.3250
17 Nd 0.1844 0.3688 0.0175
18 Nd 0.8156 0.6312 0.5175

***

Record 8
Density functional theory data (GGA-PBE) for a geometry-optimized Tb6Pm2Dy3In structure.

Values from the calculation:
- Raw total energy: -4.54 eV per atom
- M_tot: 0.00 μB/atom
- Energy of formation: -0.054 eV/atom

Cell lengths 6.1136, 6.1136, 11.7343 Å; angles 94.99, 94.99, 120.04 degrees
Sites, in units of the cell vectors:
1 Pm 0.6662 0.3338 0.0000
2 Pm 0.3338 0.6662 0.0000
3 Tb 0.2439 0.2439 0.7495
4 Tb 0.4101 0.0829 0.2495
5 Tb 0.7561 0.7561 0.2505
6 Tb 0.0829 0.4101 0.2495
7 Tb 0.5899 0.9171 0.7505
8 Tb 0.9171 0.5899 0.7505
9 In 0.0000 0.0000 0.0000
10 Dy 0.5000 0.5000 0.5000
11 Dy 0.1669 0.8331 0.5000
12 Dy 0.8331 0.1669 0.5000